No. 1
Density functional theory data (PBE) for a relaxed LiB3H crystal.

Lattice parameters (Å, degrees): 3.116 3.116 3.116 90.00 90.00 90.00
Sites, in units of the cell vectors:
H 0.000 0.000 0.000
B 0.000 0.500 0.000
B 0.000 0.000 0.500
B 0.500 0.000 0.000
Li 0.500 0.500 0.500



No. 2
Density functional theory data (PBE) for a relaxed LiB2H2 crystal.

Lattice parameters (Å, degrees): 4.116 2.977 6.436 90.00 103.69 90.00
Sites, in units of the cell vectors:
Li 0.065 0.250 0.751
Li 0.935 0.750 0.249
B 0.448 0.250 0.280
B 0.552 0.750 0.720
B 0.507 0.250 0.559
B 0.493 0.750 0.441
H 0.175 0.250 0.143
H 0.825 0.750 0.857
H 0.654 0.250 0.167
H 0.346 0.750 0.833



No. 3
Density functional theory data (PBE) for a relaxed LiB2H2 crystal.

Lattice parameters (Å, degrees): 2.993 4.412 6.661 75.96 89.56 71.33
Sites, in units of the cell vectors:
Li 0.473 0.533 0.791
Li 0.527 0.467 0.209
B 0.753 0.000 0.790
B 0.247 0.000 0.210
B 0.252 0.996 0.944
B 0.748 0.004 0.056
H 0.357 0.758 0.362
H 0.643 0.242 0.638
H 0.136 0.234 0.293
H 0.864 0.766 0.707



No. 4
Density functional theory data (PBE) for a relaxed Li2BH4 crystal.

Lattice parameters (Å, degrees): 4.538 4.538 4.045 118.70 118.70 98.27
Sites, in units of the cell vectors:
Li 0.233 0.767 0.500
Li 0.733 0.267 0.500
B 0.022 0.978 0.000
H 0.747 0.894 0.000
H 0.106 0.253 0.000
H 0.306 0.148 0.454
H 0.852 0.694 0.546



no.,E_tot (eV per atom),DOS(E_F) (states/eV per atom),magnetic moment (μB/atom)
1,-3.856,0.208,0.00
2,-4.515,0.048,0.00
3,-4.515,0.098,0.00
4,-3.479,0.152,0.00